# 1
# La5Tm6

La5Tm6 after structural relaxation (PBE-GGA, Alexandria via LeMat-Bulk).

Values from the calculation:
* total magnetic moment: 0.00 μB per formula unit
* space-group type: C2/m, No. 12
* VASP energy: -4.538 eV/atom

Cell lengths 9.0510, 8.0885, 6.4662 Å; angles 80.20, 72.29, 55.98 degrees
Closest atoms and distances in Å follow each position.
Positions (direct):
Tm1 0.7048 0.2463 0.1772  3 Tm 3.26-3.48, 5 La 3.33-3.65
Tm2 0.8425 0.0000 0.6984  3 Tm 3.20-3.48, 2 La 3.57
Tm3 0.2952 0.7537 0.8228  3 Tm 3.26-3.48, 5 La 3.33-3.65
Tm4 0.0490 0.2463 0.8228  3 Tm 3.26-3.48, 5 La 3.33-3.65
Tm5 0.1575 0.0000 0.3016  3 Tm 3.20-3.48, 2 La 3.57
Tm6 0.9510 0.7537 0.1772  3 Tm 3.26-3.48, 5 La 3.33-3.65
La1 0.2376 0.5248 0.5000  6 Tm 3.33-3.59, 3 La 3.52-3.67
La2 0.3665 0.2671 0.0000  6 Tm 3.49-3.65, 5 La 3.58-3.70
La3 0.6335 0.7329 0.0000  6 Tm 3.49-3.65, 5 La 3.58-3.70
La4 0.7624 0.4752 0.5000  6 Tm 3.33-3.59, 3 La 3.52-3.67
La5 0.5000 0.0000 0.5000  6 Tm 3.48-3.70, 6 La 3.52-3.70


# 2
# La2Tm

La2Tm after structural relaxation (PBE-GGA, Alexandria via LeMat-Bulk).

Values from the calculation:
* total magnetic moment: 0.02 μB per formula unit
* space-group type: Fd-3m, No. 227
* VASP energy: -4.515 eV/atom

Cell lengths 6.6940, 6.6940, 6.6940 Å; angles 60.00, 60.00, 60.00 degrees
Closest atoms and distances in Å follow each position.
Positions (direct):
La1 0.6250 0.6250 0.6250  6 La 3.35
La2 0.6250 0.1250 0.6250  6 La 3.35
La3 0.1250 0.6250 0.6250  6 La 3.35
La4 0.6250 0.6250 0.1250  6 La 3.35
Tm1 0.0000 0.0000 0.0000  12 La 3.92, 4 Tm 4.10
Tm2 0.2500 0.2500 0.2500  12 La 3.92, 4 Tm 4.10


# 3
# La3Tm

La3Tm after structural relaxation (PBE-GGA, Alexandria via LeMat-Bulk).

Values from the calculation:
* total magnetic moment: 0.02 μB per formula unit
* space-group type: Fm-3m, No. 225
* VASP energy: -4.682 eV/atom

Cell lengths 5.8782, 5.8782, 5.8782 Å; angles 60.00, 60.00, 60.00 degrees
Closest atoms and distances in Å follow each position.
Positions (direct):
La1 0.0000 0.0000 0.0000  8 La 3.60
La2 0.2500 0.2500 0.2500  4 Tm 3.60, 4 La 3.60
La3 0.7500 0.7500 0.7500  4 La 3.60, 4 Tm 3.60
Tm1 0.5000 0.5000 0.5000  8 La 3.60


# 4
# LaTm2V

LaTm2V after structural relaxation (PBE-GGA, Alexandria via LeMat-Bulk).

Values from the calculation:
* total magnetic moment: 3.13 μB per formula unit
* space-group type: R-3m, No. 166
* VASP energy: -5.126 eV/atom

Cell lengths 3.3743, 3.3743, 11.6694 Å; angles 81.69, 81.69, 60.00 degrees
Closest atoms and distances in Å follow each position.
Positions (direct):
Tm1 0.0804 0.0804 0.7588  1 V 2.77
Tm2 0.9196 0.9196 0.2412  1 V 2.77
V1 0.0000 0.0000 0.0000  2 Tm 2.77
La1 0.5000 0.5000 0.5000  6 La 3.37, 6 Tm 3.56


# 5
# La2TmV

La2TmV after structural relaxation (PBE-GGA, Alexandria via LeMat-Bulk).

Values from the calculation:
* total magnetic moment: 2.73 μB per formula unit
* space-group type: R-3m, No. 166
* VASP energy: -5.249 eV/atom

Cell lengths 3.4214, 3.4214, 11.8328 Å; angles 81.69, 81.69, 60.00 degrees
Closest atoms and distances in Å follow each position.
Positions (direct):
La1 0.0785 0.0785 0.7645  1 V 2.75
La2 0.9215 0.9215 0.2355  1 V 2.75
V1 0.0000 0.0000 0.0000  2 La 2.75
Tm1 0.5000 0.5000 0.5000  6 Tm 3.42, 6 La 3.66


# 6
# LaY4Tm5

LaY4Tm5 after structural relaxation (PBE-GGA, Alexandria via LeMat-Bulk).

Values from the calculation:
* total magnetic moment: 0.00 μB per formula unit
* space-group type: P-1, No. 2
* VASP energy: -5.246 eV/atom

Cell lengths 3.5443, 6.7629, 14.4134 Å; angles 96.16, 100.44, 107.48 degrees
Closest atoms and distances in Å follow each position.
Positions (direct):
La1 0.5000 0.0000 0.0000  4 Y 3.33-3.60, 2 Tm 3.38, 2 La 3.54
Y1 0.8207 0.7300 0.8010  1 La 3.33, 4 Tm 3.41-3.61, 5 Y 3.42-3.57
Y2 0.4163 0.8039 0.2202  5 Y 3.42-3.57, 5 Tm 3.44-3.70, 1 La 3.60
Y3 0.5837 0.1961 0.7798  5 Y 3.42-3.57, 5 Tm 3.44-3.70, 1 La 3.60
Y4 0.1793 0.2700 0.1990  1 La 3.33, 4 Tm 3.41-3.61, 5 Y 3.42-3.57
Tm1 0.5000 0.5000 0.0000  2 La 3.38, 2 Tm 3.54, 4 Y 3.61-3.70
Tm2 0.0429 0.4281 0.6104  8 Tm 3.41-3.60, 4 Y 3.44-3.61
Tm3 0.2420 0.1181 0.4180  3 Y 3.41-3.63, 9 Tm 3.42-3.60
Tm4 0.7580 0.8819 0.5820  3 Y 3.41-3.63, 9 Tm 3.42-3.60
Tm5 0.9571 0.5719 0.3896  8 Tm 3.41-3.60, 4 Y 3.44-3.61


# 7
# LaY5Tm2

LaY5Tm2 after structural relaxation (PBE-GGA, Alexandria via LeMat-Bulk).

Values from the calculation:
* total magnetic moment: 0.00 μB per formula unit
* space-group type: Immm, No. 71
* VASP energy: -5.746 eV/atom

Cell lengths 7.1364, 7.1365, 7.1367 Å; angles 89.92, 120.08, 120.01 degrees
Closest atoms and distances in Å follow each position.
Positions (direct):
Y1 0.2780 0.2780 0.9999  2 Tm 3.56, 2 La 3.57, 8 Y 3.57
Y2 0.2779 0.7780 0.0001  6 Y 3.56-3.57, 4 Tm 3.57, 2 La 3.57
Y3 0.2779 0.2777 0.4999  6 Y 3.56-3.57, 2 La 3.57, 4 Tm 3.57
Y4 0.7779 0.2779 0.9999  6 Y 3.56-3.57, 2 La 3.57, 4 Tm 3.57
Y5 0.7778 0.7778 0.5001  6 Y 3.56-3.57, 4 Tm 3.57, 2 La 3.57
Tm1 0.7780 0.2779 0.4999  10 Y 3.56-3.57, 2 Tm 3.57
Tm2 0.2778 0.7777 0.5001  2 La 3.56, 2 Tm 3.57, 8 Y 3.57
La1 0.7776 0.7778 0.0001  2 Tm 3.56, 10 Y 3.57


# 8
# LaY2Tm4

LaY2Tm4 after structural relaxation (PBE-GGA, Alexandria via LeMat-Bulk).

Values from the calculation:
* total magnetic moment: 0.00 μB per formula unit
* space-group type: P1, No. 1
* VASP energy: -5.035 eV/atom

Cell lengths 8.7229, 10.1656, 9.5077 Å; angles 144.63, 96.58, 97.23 degrees
Closest atoms and distances in Å follow each position.
Positions (direct):
Y1 0.6901 0.2112 0.7247  1 La 3.43, 8 Tm 3.45-3.69, 2 Y 3.47-3.56
Y2 0.1372 0.5571 0.9287  8 Tm 3.44-3.75, 2 La 3.50-3.65, 1 Y 3.66
Y3 0.6261 0.1843 0.0645  8 Tm 3.37-3.63, 2 Y 3.54-3.56, 2 La 3.65-3.76
Y4 0.5602 0.8668 0.1053  8 Tm 3.40-3.62, 3 Y 3.47-3.66, 1 La 3.79
Tm1 0.7660 0.5300 0.6931  5 Y 3.40-3.62, 6 Tm 3.43-3.66, 1 La 3.74
Tm2 0.4895 0.5674 0.1564  6 Tm 3.30-3.68, 5 Y 3.45-3.63
Tm3 0.2947 0.9629 0.6084  2 La 3.23-3.46, 4 Tm 3.30-3.57, 2 Y 3.43-3.45
Tm4 0.9721 0.1765 0.2819  5 Tm 3.43-3.76, 3 La 3.45-3.77, 3 Y 3.51-3.58
Tm5 0.4157 0.5380 0.4847  3 La 3.46-3.70, 5 Tm 3.47-3.78, 3 Y 3.49-3.56
Tm6 0.3464 0.2165 0.5116  5 Tm 3.37-3.65, 5 Y 3.45-3.60, 1 La 3.70
Tm7 0.9185 0.8724 0.3337  6 Tm 3.43-3.83, 5 Y 3.44-3.75, 1 La 3.82
Tm8 0.8113 0.8022 0.6108  4 Tm 3.31-3.47, 2 La 3.32-3.44, 3 Y 3.37-3.69
La1 0.0392 0.4005 0.1345  4 Tm 3.23-3.55, 2 Y 3.43-3.50
La2 0.1827 0.8644 0.8616  8 Tm 3.44-3.77, 3 Y 3.65-3.79


# 9
# La8Y3Tm3

La8Y3Tm3 after structural relaxation (PBE-GGA, Alexandria via LeMat-Bulk).

Values from the calculation:
* total magnetic moment: 0.00 μB per formula unit
* space-group type: Immm, No. 71
* VASP energy: -5.067 eV/atom

Cell lengths 5.6939, 9.8440, 9.8441 Å; angles 101.49, 73.19, 73.19 degrees
Closest atoms and distances in Å follow each position.
Positions (direct):
Y1 0.0000 0.8255 0.1745  2 Tm 3.47, 8 La 3.65-3.89
Y2 0.5000 0.0000 0.0000  4 Tm 3.62, 4 Y 3.90
Y3 0.0000 0.1745 0.8255  2 Tm 3.47, 8 La 3.65-3.89
Tm1 0.2012 0.7988 0.7988  1 Tm 3.31, 4 Y 3.47-3.62, 4 La 3.61
Tm2 0.5000 0.5000 0.5000  2 Tm 3.31
Tm3 0.7988 0.2012 0.2012  1 Tm 3.31, 4 Y 3.47-3.62, 4 La 3.61
La1 0.1622 0.2315 0.4441  5 La 3.21-3.59
La2 0.6575 0.1137 0.5714  6 La 3.21-3.57
La3 0.6575 0.5714 0.1137  6 La 3.21-3.57
La4 0.8378 0.7685 0.5559  5 La 3.21-3.59
La5 0.3425 0.8863 0.4286  6 La 3.21-3.57
La6 0.1622 0.4441 0.2315  5 La 3.21-3.59
La7 0.3425 0.4286 0.8863  6 La 3.21-3.57
La8 0.8378 0.5559 0.7685  5 La 3.21-3.59


# 10
# LaY2Tm

LaY2Tm after structural relaxation (PBE-GGA, Alexandria via LeMat-Bulk).

Values from the calculation:
* total magnetic moment: 0.00 μB per formula unit
* space-group type: P4/mmm, No. 123
* VASP energy: -5.545 eV/atom

Cell lengths 3.6015, 3.6015, 10.1520 Å; angles 90.00, 90.00, 90.00 degrees
Closest atoms and distances in Å follow each position.
Positions (direct):
La1 0.5000 0.5000 0.5000  4 La 3.60, 8 Y 3.66
Tm1 0.5000 0.5000 0.0000  8 Y 3.53, 4 Tm 3.60
Y1 0.0000 0.0000 0.7588  4 Tm 3.53, 4 Y 3.60, 4 La 3.66
Y2 0.0000 0.0000 0.2412  4 Tm 3.53, 4 Y 3.60, 4 La 3.66


Question: Which formula does entry 6 have?
Answer: LaY4Tm5